A relaxed ThReMo2 crystal, computed with PBE-GGA.

abc: 9.7398 9.7398 9.7398
angles: 17.97 17.97 17.97
Sites, in units of the cell vectors:
Th 0.0000 0.0000 0.0000
Re 0.5000 0.5000 0.5000
Mo 0.2365 0.2365 0.2365
Mo 0.7635 0.7635 0.7635

* ΔE_f: 606 meV per atom
* crystal system: trigonal
* electronic total energy: -39.11 eV/cell
* symmetry: R-3m, No. 166
* magnetization: 0.00 μB/atom

=====

A relaxed SiP4Pb crystal, computed with PBE-GGA.

abc: 5.6004 5.6004 5.6004
angles: 60.00 60.00 60.00
Sites, in units of the cell vectors:
Si 0.0000 0.0000 0.0000
P 0.0559 0.6480 0.6480
P 0.6480 0.0559 0.6480
P 0.6480 0.6480 0.0559
P 0.6480 0.6480 0.6480
Pb 0.2500 0.2500 0.2500

* crystal system: cubic
* formation energy (no corrections): 3.75 eV per formula unit
* electronic total energy: -27.02 eV/cell
* symmetry: F-43m, No. 216
* magnetization: 0.00 μB/atom

=====

A relaxed Nd3ThN3 crystal, computed with PBE-GGA.

abc: 6.6952 6.6952 6.8096
angles: 92.13 92.13 109.16
Sites, in units of the cell vectors:
Nd 0.1941 0.8059 0.0000
Nd 0.2665 0.7335 0.5000
Nd 0.3554 0.3554 0.8590
Nd 0.6446 0.6446 0.1410
Nd 0.7335 0.2665 0.5000
Nd 0.8059 0.1941 0.0000
Th 0.2130 0.2130 0.3634
Th 0.7870 0.7870 0.6366
N 0.0775 0.0775 0.7093
N 0.2267 0.5107 0.1708
N 0.4893 0.7733 0.8292
N 0.5107 0.2267 0.1708
N 0.7733 0.4893 0.8292
N 0.9225 0.9225 0.2907

* crystal system: monoclinic
* formation energy (no corrections): -5.69 eV per formula unit
* electronic total energy: -104.78 eV/cell
* symmetry: C2/m, No. 12
* ΔE to the lowest computed polymorph: 282 meV/atom
* magnetization: 0.00 μB/atom

=====

A relaxed RuS6F2 crystal, computed with PBE-GGA.

abc: 3.5784 7.5785 7.5898
angles: 114.77 92.94 92.88
Sites, in units of the cell vectors:
Ru 0.0000 0.0000 0.0000
S 0.1273 0.7497 0.4851
S 0.1277 0.4842 0.7491
S 0.1293 0.2790 0.2789
S 0.8707 0.7210 0.7211
S 0.8723 0.5158 0.2509
S 0.8727 0.2503 0.5149
F 0.4998 0.0962 0.9044
F 0.5002 0.9038 0.0956

* crystal system: triclinic
* formation energy (no corrections): -2.88 eV per formula unit
* electronic total energy: -40.66 eV/cell
* symmetry: P-1, No. 2
* magnetization: 0.00 μB/atom

=====

A relaxed CdAgBr4 crystal, computed with PBE-GGA.

abc: 6.8434 3.9151 7.3839
angles: 90.00 104.12 90.00
Sites, in units of the cell vectors:
Cd 0.0000 0.0000 0.0000
Ag 0.0000 0.5000 0.5000
Br 0.2215 0.0000 0.6905
Br 0.2491 0.5000 0.1879
Br 0.7509 0.5000 0.8121
Br 0.7785 0.0000 0.3095

* crystal system: monoclinic
* formation energy (no corrections): -3.03 eV per formula unit
* electronic total energy: -13.48 eV/cell
* symmetry: P2/m, No. 10
* ΔE to the lowest computed polymorph: 6 meV/atom
* magnetization: 0.14 μB/atom

=====

A relaxed BeRePO2 crystal, computed with PBE-GGA.

abc: 3.2950 3.2950 6.0931
angles: 90.00 90.00 90.00
Sites, in units of the cell vectors:
Be 0.0000 0.0000 0.0000
Re 0.5000 0.5000 0.5000
P 0.0000 0.0000 0.5000
O 0.0000 0.5000 0.0000
O 0.5000 0.0000 0.0000

* crystal system: tetragonal
* formation energy (no corrections): 0.09 eV per formula unit
* electronic total energy: -31.41 eV/cell
* symmetry: P4/mmm, No. 123
* ΔE to the lowest computed polymorph: 480 meV/atom
* magnetization: 0.40 μB/atom

=====

A relaxed KSr2LiMo crystal, computed with PBE-GGA.

abc: 6.2724 6.2724 5.1399
angles: 90.00 90.00 90.00
Sites, in units of the cell vectors:
K 0.0000 0.0000 0.0000
Sr 0.0000 0.5000 0.5000
Sr 0.5000 0.0000 0.5000
Li 0.5000 0.5000 0.5000
Mo 0.5000 0.5000 0.0000

* ΔE_f: 892 meV per atom
* crystal system: tetragonal
* electronic total energy: -12.75 eV/cell
* symmetry: P4/mmm, No. 123
* magnetization: 0.74 μB/atom

=====

Q: What is the formula in the fifth record?
A: CdAgBr4

=====

Copy entry 4 word for word.
A relaxed RuS6F2 crystal, computed with PBE-GGA.

abc: 3.5784 7.5785 7.5898
angles: 114.77 92.94 92.88
Sites, in units of the cell vectors:
Ru 0.0000 0.0000 0.0000
S 0.1273 0.7497 0.4851
S 0.1277 0.4842 0.7491
S 0.1293 0.2790 0.2789
S 0.8707 0.7210 0.7211
S 0.8723 0.5158 0.2509
S 0.8727 0.2503 0.5149
F 0.4998 0.0962 0.9044
F 0.5002 0.9038 0.0956

* crystal system: triclinic
* formation energy (no corrections): -2.88 eV per formula unit
* electronic total energy: -40.66 eV/cell
* symmetry: P-1, No. 2
* magnetization: 0.00 μB/atom

=====

Q: Look up the magnetization of the seventh one.
A: 0.74 μB/atom